*a*
The following is a DFT calculation (PBE) of a relaxed TiCuB3 crystal.

Properties
Crystal system: cubic

The structure in POSCAR format:
```
TiCuB3
1.0
-1.640 -0.557 -3.357
-1.552 -3.194 1.288
-3.028 1.939 1.158
B Cu Ti
3 1 1
direct
0.000 0.500 0.000
0.000 0.000 0.500
0.500 0.000 0.000
0.000 0.000 0.000
0.500 0.500 0.500
```

***

*b*
The following is a DFT calculation (PBE) of a relaxed TiCuB3 crystal.

Properties
Crystal system: cubic

The structure in POSCAR format:
```
TiCuB3
1.0
4.095 0.000 0.000
0.000 4.095 0.000
0.000 0.000 4.095
B Cu Ti
3 1 1
direct
0.000 0.500 0.000
0.000 0.000 0.500
0.500 0.000 0.000
0.500 0.500 0.500
0.000 0.000 0.000
```

***

Most favorable structure: *a*. The second most favorable one is 604 meV/atom above it.

***

*a*
The following is a DFT calculation (PBE) of a relaxed TlCuB crystal.

Properties
Crystal system: triclinic

The structure in POSCAR format:
```
TlCuB
1.0
-2.770 1.344 0.125
-2.756 -2.300 1.678
0.892 3.433 8.996
Tl B Cu
2 2 2
direct
0.467 0.586 0.290
0.011 0.058 0.588
0.693 0.400 0.973
0.251 0.269 0.994
0.257 0.436 0.781
0.963 0.832 0.008
```

***

*b*
The following is a DFT calculation (PBE) of a relaxed TlCuB crystal.

Properties
Crystal system: monoclinic

The structure in POSCAR format:
```
TlCuB
1.0
-0.366 4.775 7.195
-4.747 -1.111 0.496
1.500 -6.084 0.727
Tl B Cu
4 4 4
direct
0.350 0.333 0.196
0.650 0.333 0.804
0.350 0.833 0.696
0.650 0.833 0.304
0.000 0.383 0.000
0.000 0.883 0.500
0.000 0.715 0.000
0.000 0.215 0.500
0.000 0.547 0.305
0.000 0.547 0.695
0.000 0.047 0.805
0.000 0.047 0.195
```

***

*c*
The following is a DFT calculation (PBE) of a relaxed TlCuB crystal.

Properties
Crystal system: triclinic

The structure in POSCAR format:
```
TlCuB
1.0
-2.007 1.886 -0.756
-1.915 -2.277 -0.542
0.487 0.805 6.543
Tl B Cu
1 1 1
direct
0.911 0.225 0.118
0.796 0.698 0.619
0.295 0.197 0.618
```

***

*d*
The following is a DFT calculation (PBE) of a relaxed TlCuB crystal.

Properties
Crystal system: monoclinic

The structure in POSCAR format:
```
TlCuB
1.0
3.886 0.000 0.018
0.000 12.321 0.000
-2.149 0.000 4.983
Tl B Cu
4 4 4
direct
0.000 0.167 0.000
0.000 0.833 0.000
0.000 0.667 0.500
0.000 0.333 0.500
0.426 0.000 0.342
0.574 0.000 0.658
0.426 0.500 0.842
0.574 0.500 0.158
0.000 0.500 0.000
0.000 0.000 0.500
0.500 0.500 0.500
0.500 0.000 0.000
```

***

Most favorable structure: *a*. The second most favorable one is 17 meV/atom above it.

***

*a*
The following is a DFT calculation (PBE) of a relaxed TlCuB crystal.

Properties
Crystal system: triclinic

The structure in POSCAR format:
```
TlCuB
1.0
3.294 0.026 0.002
-1.597 3.582 -0.046
-0.960 -1.780 8.905
Tl B Cu
2 2 2
direct
0.867 0.644 0.274
0.017 0.295 0.605
0.991 0.567 0.936
0.494 0.570 0.942
0.437 0.014 0.832
0.052 0.126 0.046
```

***

*b*
The following is a DFT calculation (PBE) of a relaxed TlCuB crystal.

Properties
Crystal system: monoclinic

The structure in POSCAR format:
```
TlCuB
1.0
2.841 0.000 0.119
0.000 3.056 0.000
-1.022 0.000 5.939
Tl B Cu
1 1 1
direct
0.059 0.000 0.881
0.044 0.000 0.382
0.544 0.500 0.381
```

***

*c*
The following is a DFT calculation (PBE) of a relaxed TlCuB crystal.

Properties
Crystal system: monoclinic

The structure in POSCAR format:
```
TlCuB
1.0
-0.902 2.190 -2.851
0.758 -2.350 -2.045
-7.688 -3.976 1.719
Tl B Cu
2 2 2
direct
0.479 0.000 0.715
0.827 0.500 0.410
0.113 0.250 0.978
0.113 0.750 0.978
0.228 0.000 0.212
0.659 0.500 0.072
```

***

Most favorable structure: *a*. The second most favorable one is 35 meV/atom above it.